1.
AgTe2As (GGA-PBE, optimized geometry); crystal system = orthorhombic; magnetic moment = 0.0 μB per formula unit; uncorrected formation energy = 31.0 kJ/mol of atoms; energy = -12.50 eV/cell
1.0
-0.2404 -1.2325 3.5896
2.4975 -1.9246 -2.1261
5.7215 5.0760 2.1261
As Te Ag
1 2 1
direct
0.5000 0.5000 0.7500
0.0000 0.0000 0.9964
0.0000 0.0000 0.5036
0.5000 0.5000 0.2500



2.
LiPrSeO (GGA-PBE, optimized geometry); crystal system = tetragonal; magnetic moment = 0.0 μB per formula unit; uncorrected formation energy = -225.8 kJ/mol of atoms; energy = -48.99 eV/cell
1.0
4.0701 0.0000 0.0000
0.0000 4.0701 0.0000
0.0000 0.0000 9.1186
O Li Se Pr
2 2 2 2
direct
0.0000 0.0000 0.5000
0.5000 0.5000 0.5000
0.5000 0.5000 0.0000
0.0000 0.0000 0.0000
0.0000 0.5000 0.8283
0.5000 0.0000 0.1717
0.5000 0.0000 0.6320
0.0000 0.5000 0.3680